A geometry-optimized CrNi2Cl structure. Source: Alexandria, functional PBE.

Its density of states at the Fermi level is 1.282 states/eV/atom. The energy relative to the elements, uncorrected is 0.710 eV per atom. The calculated volume comes out at 13.6 A^3/atom. The energy is -80.776 eV for the cell shown.

The structure belongs to space group Fm-3m (No. 225); the cell edges are 6.019, 6.019 and 6.019 Å and the angles 90.00°, 90.00° and 90.00°. The inequivalent atoms are Cr at (0.000, 0.000, 0.000), Ni at (0.250, 0.250, 0.250) and Cl at (0.000, 0.000, 0.500).

***

A geometry-optimized NpCdInHg structure. Source: Alexandria, functional PBE.

Its density of states at the Fermi level is 2.277 states/eV/atom. The calculated volume comes out at 24.6 A^3/atom. The energy is -65.566 eV for the cell shown.

The structure belongs to space group F-43m (No. 216); the cell edges are 7.327, 7.327 and 7.327 Å and the angles 90.00°, 90.00° and 90.00°. The inequivalent atoms are Np at (0.000, 0.000, 0.000), Cd at (0.000, 0.000, 0.500), In at (0.250, 0.250, 0.250) and Hg at (0.250, 0.250, 0.750).

***

A geometry-optimized PmPrDy2Er4 structure. Source: Alexandria, functional PBE.

Its density of states at the Fermi level is 2.223 states/eV/atom. The calculated volume comes out at 33.1 A^3/atom. The energy is -134.187 eV for the cell shown.

The structure belongs to space group C2/c (No. 15); the cell edges are 13.594, 13.243 and 6.795 Å and the angles 90.00°, 119.98° and 90.00°. The inequivalent atoms are Pm at (0.250, 0.250, 0.000), Pr at (0.000, 0.000, 0.000), Dy at (0.000, 0.500, 0.000), Dy at (0.250, 0.250, 0.500), Er at (0.000, 0.253, 0.001) and Er at (0.246, 0.499, 0.495).

***

A geometry-optimized Ac3BeSe6 structure. Source: Alexandria, functional PBE.

Its density of states at the Fermi level is 0.184 states/eV/atom. The energy relative to the elements, uncorrected is -1.602 eV per atom. The calculated volume comes out at 31.2 A^3/atom. The energy is -211.928 eV for the cell shown.

The structure belongs to space group Cmc2_1 (No. 36); the cell edges are 12.422, 15.422 and 6.519 Å and the angles 90.00°, 90.00° and 90.00°. The inequivalent atoms are Ac at (0.000, 0.124, 0.000), Ac at (0.174, 0.389, 0.068), Be at (0.000, 0.305, 0.630), Se at (0.000, 0.284, 0.289), Se at (0.000, 0.447, 0.740), Se at (0.153, 0.242, 0.754) and Se at (0.158, 0.011, 0.291).